{"formula": "DyPuFeIr", "functional": "PBE-GGA", "state": "relaxed", "e_form_ev_per_atom": -0.2920, "dos_at_fermi_per_ev_atom": 1.1430, "dft_energy_ev_per_atom": -9.36, "sg": "F-43m, No. 216", "lattice_angstrom": [[0.000, 3.396, 3.396], [3.396, 0.000, 3.396], [3.396, 3.396, 0.000]], "species": ["Dy", "Pu", "Fe", "Ir"], "fractional_positions": [[0.000, 0.000, 0.000], [0.500, 0.500, 0.500], [0.750, 0.750, 0.750], [0.250, 0.250, 0.250]]}